1.
Here is a relaxed KRb2NpCl6 crystal from the Alexandria database. Energies are from PBE-GGA.

abc: 7.7643 8.1908 11.1318
angles: 90.00 90.00 90.00
With the nearest neighbours (Å) after each atom.
Atoms (fractional coordinates):
Rb1 0.0231 0.9330 0.2486  6 Cl 3.33-3.60
K1 0.5000 0.0000 0.0000  6 Cl 3.13-3.16
Rb2 0.4769 0.4330 0.2514  6 Cl 3.33-3.60
Cl1 0.1771 0.2208 0.0608  1 Np 2.75
Cl2 0.2187 0.1873 0.4429  1 Np 2.74
Cl3 0.8878 0.5454 0.2316  1 Np 2.75
K2 0.0000 0.5000 0.5000  6 Cl 3.13-3.16
Cl4 0.6122 0.0454 0.2684  1 Np 2.75
Cl5 0.8229 0.7792 0.9392  1 Np 2.75
Cl6 0.2813 0.6873 0.0571  1 Np 2.74
Cl7 0.6771 0.2792 0.5608  1 Np 2.75
Cl8 0.1122 0.4546 0.7684  1 Np 2.75
Cl9 0.7813 0.8127 0.5571  1 Np 2.74
Rb3 0.5231 0.5670 0.7486  6 Cl 3.33-3.60
Cl10 0.7187 0.3127 0.9429  1 Np 2.74
Rb4 0.9769 0.0670 0.7514  6 Cl 3.33-3.60
Cl11 0.3229 0.7208 0.4392  1 Np 2.75
Cl12 0.3878 0.9546 0.7316  1 Np 2.75
Np1 0.5000 0.0000 0.5000  6 Cl 2.74-2.75
Np2 0.0000 0.5000 0.0000  6 Cl 2.74-2.75

Output
- spin magnetization (μB per atom) = 0.4000
- D(E_F) (states/eV/atom) = 0.59
- raw total energy (eV for the cell shown) = -92.23
- energy relative to the elements, uncorrected (eV per formula unit) = -19.1

---

2.
Here is a relaxed CaHf2V crystal from the Alexandria database. Energies are from PBE-GGA.

abc: 6.3862 6.3862 8.0987
angles: 66.78 66.78 90.00
With the nearest neighbours (Å) after each atom.
Atoms (fractional coordinates):
Hf1 0.8748 0.6250 0.2500  2 V 2.32
Hf2 0.8752 0.1250 0.2500  2 V 2.32
V1 0.7500 0.2500 0.5000  4 Hf 2.32
V2 0.0000 0.0000 0.0000  4 Hf 2.32
Ca1 0.5000 0.5000 0.0000  8 Hf 3.95
Ca2 0.2500 0.7500 0.5000  8 Hf 3.95
Hf3 0.8750 0.1252 0.7500  2 V 2.32
Hf4 0.3750 0.1248 0.7500  2 V 2.32

Output
- DFT formation energy (meV/atom) = 1420
- spin magnetization (μB per atom) = 0.0000
- D(E_F) (states/eV/atom) = 0.96
- relative energy among the computed polymorphs (kJ per mole of atoms) = 83.5
- raw total energy (eV for the cell shown) = -50.70

---

3.
Here is a relaxed Sb2TeF14 crystal from the Alexandria database. Energies are from PBE-GGA.

abc: 14.3767 7.6757 10.2141
angles: 88.51 90.00 90.00
With the nearest neighbours (Å) after each atom.
Atoms (fractional coordinates):
F1 0.7041 0.9092 0.3900  1 Te 1.88
Sb1 0.3995 0.6604 0.7775  6 F 1.89-2.09
F2 0.5457 0.8344 0.1666  1 Sb 1.90
F3 0.1768 0.8293 0.3583  1 Sb 1.90
Sb2 0.9377 0.0857 0.2460  6 F 1.88-2.05
F4 0.5280 0.3489 0.0680  1 Sb 1.89
F5 0.8325 0.3049 0.8798  1 Sb 1.89
F6 0.8365 0.6374 0.0427  1 Te 1.86
F7 0.8232 0.1707 0.6417  1 Sb 1.90
Sb3 0.4377 0.9143 0.2540  6 F 1.88-2.05
F8 0.5152 0.4850 0.3081  1 Sb 1.89
F9 0.4848 0.5150 0.6919  1 Sb 1.89
F10 0.3365 0.3626 0.4573  1 Te 1.86
F11 0.3232 0.8293 0.8583  1 Sb 1.90
F12 0.9848 0.4850 0.8081  1 Sb 1.89
F13 0.3154 0.3659 0.1062  1 Te 1.87
F14 0.9720 0.3489 0.5680  1 Sb 1.89
F15 0.9810 0.1618 0.0805  1 Sb 1.88
Te1 0.2325 0.2196 0.4789  3 F 1.86-1.88
Te2 0.7675 0.7804 0.5211  3 F 1.86-1.88
F16 0.5190 0.1618 0.5805  1 Sb 1.88
F17 0.5140 0.1353 0.2857  2 Sb 2.05-2.09
Sb4 0.6005 0.3396 0.2225  6 F 1.89-2.09
F18 0.6675 0.3049 0.3798  1 Sb 1.89
F19 0.1675 0.6951 0.1202  1 Sb 1.89
F20 0.3616 0.7215 0.2220  1 Sb 1.88
F21 0.8616 0.2785 0.2780  1 Sb 1.88
F22 0.6613 0.9562 0.6625  1 Sb 1.95
F23 0.8228 0.5372 0.6649  1 Sb 1.95
F24 0.8154 0.6341 0.3938  1 Te 1.87
F25 0.3325 0.6951 0.6202  1 Sb 1.89
F26 0.1384 0.7215 0.7220  1 Sb 1.88
Te3 0.2675 0.2196 0.9789  3 F 1.86-1.88
Sb5 0.0623 0.9143 0.7540  6 F 1.88-2.05
F27 0.1014 0.0318 0.5933  1 Sb 1.94
F28 0.6635 0.6374 0.5427  1 Te 1.86
F29 0.1613 0.0438 0.8375  1 Sb 1.95
F30 0.3228 0.4628 0.8351  1 Sb 1.95
F31 0.4543 0.1656 0.8334  1 Sb 1.90
F32 0.6846 0.6341 0.8938  1 Te 1.87
F33 0.2959 0.0908 0.6100  1 Te 1.88
F34 0.6768 0.1707 0.1417  1 Sb 1.90
F35 0.9543 0.8344 0.6666  1 Sb 1.90
F36 0.1846 0.3659 0.6062  1 Te 1.87
F37 0.1635 0.3626 0.9573  1 Te 1.86
F38 0.1772 0.4628 0.3351  1 Sb 1.95
F39 0.0457 0.1656 0.3334  1 Sb 1.90
F40 0.3986 0.0318 0.0933  1 Sb 1.94
F41 0.8986 0.9682 0.4067  1 Sb 1.94
F42 0.2041 0.0908 0.1100  1 Te 1.88
F43 0.0152 0.5150 0.1919  1 Sb 1.89
F44 0.0190 0.8382 0.9195  1 Sb 1.88
F45 0.3387 0.0438 0.3375  1 Sb 1.95
Sb6 0.5623 0.0857 0.7460  6 F 1.88-2.05
Sb7 0.8995 0.3396 0.7225  6 F 1.89-2.09
F46 0.6384 0.2785 0.7780  1 Sb 1.88
Sb8 0.1005 0.6604 0.2775  6 F 1.89-2.09
F47 0.0140 0.8647 0.2143  2 Sb 2.05-2.09
Te4 0.7325 0.7804 0.0211  3 F 1.86-1.88
F48 0.4810 0.8382 0.4195  1 Sb 1.88
F49 0.6014 0.9682 0.9067  1 Sb 1.94
F50 0.4860 0.8647 0.7143  2 Sb 2.05-2.09
F51 0.7959 0.9092 0.8900  1 Te 1.88
F52 0.0280 0.6511 0.4320  1 Sb 1.89
F53 0.9860 0.1353 0.7857  2 Sb 2.05-2.09
F54 0.4720 0.6511 0.9320  1 Sb 1.89
F55 0.8387 0.9562 0.1625  1 Sb 1.95
F56 0.6772 0.5372 0.1649  1 Sb 1.95

Output
- spin magnetization (μB per atom) = 0.0000
- D(E_F) (states/eV/atom) = 0.00
- raw total energy (eV for the cell shown) = -301.66
- energy relative to the elements, uncorrected (eV per formula unit) = -37.8

---

4.
Here is a relaxed Eu2TmZr crystal from the Alexandria database. Energies are from PBE-GGA.

abc: 3.4064 3.4064 12.5305
angles: 82.19 82.19 60.00
With the nearest neighbours (Å) after each atom.
Atoms (fractional coordinates):
Eu1 0.9155 0.9155 0.2534  1 Zr 3.14, 6 Eu 3.41
Zr1 0.0000 0.0000 0.0000  2 Eu 3.14, 6 Zr 3.41
Eu2 0.0845 0.0845 0.7466  1 Zr 3.14, 6 Eu 3.41
Tm1 0.5000 0.5000 0.5000  6 Tm 3.41, 6 Eu 3.63

Output
- DFT formation energy (meV/atom) = 410
- spin magnetization (μB per atom) = 3.8641
- D(E_F) (states/eV/atom) = 1.48
- raw total energy (eV for the cell shown) = -31.93

---

5.
Here is a relaxed ZnRh2Br crystal from the Alexandria database. Energies are from PBE-GGA.

abc: 4.5041 4.5041 3.0612
angles: 90.00 90.00 93.80
With the nearest neighbours (Å) after each atom.
Atoms (fractional coordinates):
Zn1 0.5000 0.0000 0.5000  8 Rh 2.72
Rh1 0.0000 0.0000 0.0000  4 Br 2.72, 4 Zn 2.72
Br1 0.0000 0.5000 0.5000  8 Rh 2.72
Rh2 0.5000 0.5000 0.0000  4 Zn 2.72, 4 Br 2.72

Output
- spin magnetization (μB per atom) = 0.0000
- D(E_F) (states/eV/atom) = 0.88
- relative energy among the computed polymorphs (kJ per mole of atoms) = 15.5
- raw total energy (eV for the cell shown) = -16.57
- energy relative to the elements, uncorrected (eV per formula unit) = 1.1

---

6.
Here is a relaxed YTm6Al crystal from the Alexandria database. Energies are from PBE-GGA.

abc: 9.4825 8.4022 6.2071
angles: 47.40 58.63 39.73
With the nearest neighbours (Å) after each atom.
Atoms (fractional coordinates):
Y1 0.0000 0.0000 0.0000  2 Al 3.08, 2 Tm 3.32
Tm1 0.2841 0.2435 0.6194  6 Tm 3.19-3.49, 1 Al 3.32, 1 Y 3.51
Tm2 0.7938 0.5456 0.0000  1 Al 3.09, 5 Tm 3.19-3.36, 1 Y 3.32
Tm3 0.7159 0.1371 0.6194  6 Tm 3.19-3.49, 1 Al 3.32, 1 Y 3.51
Tm4 0.7159 0.7565 0.3806  6 Tm 3.19-3.49, 1 Al 3.32, 1 Y 3.51
Tm5 0.2062 0.4544 0.0000  1 Al 3.09, 5 Tm 3.19-3.36, 1 Y 3.32
Al1 0.5000 0.5000 0.0000  2 Y 3.08, 6 Tm 3.09-3.32
Tm6 0.2841 0.8629 0.3806  6 Tm 3.19-3.49, 1 Al 3.32, 1 Y 3.51

Output
- DFT formation energy (meV/atom) = 25
- spin magnetization (μB per atom) = 0.0000
- D(E_F) (states/eV/atom) = 1.24
- raw total energy (eV for the cell shown) = -36.83